(A)
Material: AsOsPbO
Method: DFT, GGA-PBE
State: optimized geometry

Properties
volume: 20.082 Å³ per atom

Cell lengths 3.890, 3.890, 10.616 Å; angles 90.00, 90.00, 90.00 degrees
Atoms (fractional coordinates):
As  0.250  0.250  0.149
As  0.750  0.750  0.851
Os  0.250  0.750  0.000
Os  0.750  0.250  0.000
Pb  0.250  0.250  0.617
Pb  0.750  0.750  0.383
O  0.250  0.750  0.500
O  0.750  0.250  0.500

(B)
Material: AsOsPbO
Method: DFT, GGA-PBE
State: optimized geometry

Properties
volume: 18.369 Å³ per atom

Cell lengths 4.223, 4.223, 8.239 Å; angles 90.00, 90.00, 90.00 degrees
Atoms (fractional coordinates):
As  0.250  0.250  0.207
As  0.750  0.750  0.793
Os  0.250  0.250  0.918
Os  0.750  0.750  0.082
Pb  0.250  0.750  0.500
Pb  0.750  0.250  0.500
O  0.250  0.750  0.000
O  0.750  0.250  0.000

Which structure is most stable, and how do the rest compare? From most to least stable: (A), (B).